! PBE Sn2HRu, relaxed; values from VASP
&SYSTEM
  ibrav = 0, nat = 4, ntyp = 3
/
ATOMIC_SPECIES
Sn 118.71 Sn.upf
H 1.01 H.upf
Ru 101.07 Ru.upf
ATOMIC_POSITIONS crystal
Sn 0.250 0.250 0.250
Sn 0.750 0.750 0.750
H 0.000 0.000 0.000
Ru 0.500 0.500 0.500
CELL_PARAMETERS angstrom
0.000 3.212 3.212
3.212 0.000 3.212
3.212 3.212 0.000
! total magnetization = 0.0402 μB/atom
! excess energy over the best structure of this formula in the dataset = 0 meV per atom
! calculated volume = 66.3 Å³ per cell


! PBE SmPa3N, relaxed; values from VASP
&SYSTEM
  ibrav = 0, nat = 5, ntyp = 3
/
ATOMIC_SPECIES
Sm 150.36 Sm.upf
Pa 231.04 Pa.upf
N 14.01 N.upf
ATOMIC_POSITIONS crystal
Sm 0.000 0.000 0.000
Pa 0.000 0.500 0.500
Pa 0.500 0.000 0.500
Pa 0.500 0.500 0.000
N 0.500 0.500 0.500
CELL_PARAMETERS angstrom
4.851 0.000 0.000
0.000 4.851 0.000
0.000 0.000 4.851
! total magnetization = 0.0000 μB/atom
! formation energy from raw total energies = -458 meV per atom
! calculated volume = 114.1 Å³ per cell


! PBE LuSbH, relaxed; values from VASP
&SYSTEM
  ibrav = 0, nat = 12, ntyp = 3
/
ATOMIC_SPECIES
Lu 174.97 Lu.upf
Sb 121.76 Sb.upf
H 1.01 H.upf
ATOMIC_POSITIONS crystal
Lu 0.188 0.250 0.248
Lu 0.312 0.750 0.748
Lu 0.688 0.250 0.252
Lu 0.812 0.750 0.752
Sb 0.064 0.250 0.763
Sb 0.436 0.750 0.263
Sb 0.564 0.250 0.737
Sb 0.936 0.750 0.237
H 0.192 0.750 0.450
H 0.308 0.250 0.950
H 0.692 0.750 0.050
H 0.808 0.250 0.550
CELL_PARAMETERS angstrom
10.858 0.000 0.000
0.000 3.409 0.000
0.000 0.000 5.952
! total magnetization = 0.0000 μB/atom
! excess energy over the best structure of this formula in the dataset = 190 meV per atom
! calculated volume = 220.3 Å³ per cell


! PBE BaCa3Cd4, relaxed; values from VASP
&SYSTEM
  ibrav = 0, nat = 16, ntyp = 3
/
ATOMIC_SPECIES
Ba 137.33 Ba.upf
Ca 40.08 Ca.upf
Cd 112.41 Cd.upf
ATOMIC_POSITIONS crystal
Ba 0.000 0.000 0.000
Ba 0.500 0.000 0.000
Ca 0.000 0.500 0.000
Ca 0.250 0.000 0.499
Ca 0.250 0.500 0.499
Ca 0.500 0.500 0.000
Ca 0.750 0.000 0.501
Ca 0.750 0.500 0.501
Cd 0.000 0.272 0.500
Cd 0.000 0.728 0.500
Cd 0.250 0.273 0.999
Cd 0.250 0.727 0.999
Cd 0.500 0.272 0.500
Cd 0.500 0.728 0.500
Cd 0.750 0.273 0.001
Cd 0.750 0.727 0.001
CELL_PARAMETERS angstrom
11.282 0.000 0.000
0.000 7.765 0.000
0.000 0.000 5.642
! total magnetization = 0.0000 μB/atom
! formation enthalpy at 0 K = -2.57 eV per formula unit
! calculated volume = 494.2 Å³ per cell


Look up the calculated volume of the third one.
220.3 Å³ per cell


total magnetization of number 2 (SmPa3N)?
0.0000 μB/atom


Among the records above, which one has the highest calculated volume?
BaCa3Cd4